(1)
Compound: RbErHgO3
Source: Alexandria via LeMat-Bulk
Functional: PBE-GGA
Structure: optimized geometry

Cell: 7.2758 3.5567 9.3920 Å, 90.00 101.67 90.00°
Closest atoms and distances in Å follow each position.
Fractional positions:
Rb 0.0356 0.2500 0.3330  3 O 2.76-2.79
Rb 0.9644 0.7500 0.6670  3 O 2.76-2.79
Er 0.4668 0.2500 0.6493  6 O 2.26-2.36
Er 0.5332 0.7500 0.3507  6 O 2.26-2.36
Hg 0.3019 0.2500 0.0017  2 O 1.99-2.02
Hg 0.6981 0.7500 0.9983  2 O 1.99-2.02
O 0.2435 0.2500 0.7855  1 Hg 1.99
O 0.3429 0.7500 0.5158  3 Er 2.26-2.28
O 0.3630 0.2500 0.2210  1 Hg 2.02
O 0.6370 0.7500 0.7790  1 Hg 2.02
O 0.6571 0.2500 0.4842  3 Er 2.26-2.28
O 0.7565 0.7500 0.2145  1 Hg 1.99

Values from the calculation:
**DOS(E_F)**: 0.0 states/eV/f.u.
**ΔE_f (raw)**: -1.970 eV per atom
**Space group**: No. 11

=====

(2)
Compound: Rb2ZrRu2
Source: Alexandria via LeMat-Bulk
Functional: PBE-GGA
Structure: optimized geometry

Cell: 9.5139 9.5139 2.7658 Å, 90.00 90.00 90.00°
Closest atoms and distances in Å follow each position.
Fractional positions:
Rb 0.1138 0.3862 0.0000  3 Rb 2.77-3.06, 2 Ru 2.97
Rb 0.3862 0.8862 0.0000  3 Rb 2.77-3.06, 2 Ru 2.97
Rb 0.6138 0.1138 0.0000  3 Rb 2.77-3.06, 2 Ru 2.97
Rb 0.8862 0.6138 0.0000  3 Rb 2.77-3.06, 2 Ru 2.97
Zr 0.0000 0.0000 0.0000  2 Zr 2.77
Zr 0.5000 0.5000 0.0000  2 Zr 2.77
Ru 0.1909 0.6909 0.5000  2 Ru 2.77, 2 Rb 2.97
Ru 0.3091 0.1909 0.5000  2 Ru 2.77, 2 Rb 2.97
Ru 0.6909 0.8091 0.5000  2 Ru 2.77, 2 Rb 2.97
Ru 0.8091 0.3091 0.5000  2 Ru 2.77, 2 Rb 2.97

Values from the calculation:
**DOS(E_F)**: 6.3 states/eV/f.u.
**Space group**: No. 127
**Energy above the lowest structure with this stoichiometry**: 0.00 kJ/mol of atoms
**Formation enthalpy at 0 K**: 1.698 eV per atom

=====

(3)
Compound: TlHgOF
Source: Alexandria via LeMat-Bulk
Functional: PBE-GGA
Structure: optimized geometry

Cell: 6.3323 3.9671 7.1102 Å, 90.00 105.15 90.00°
Closest atoms and distances in Å follow each position.
Fractional positions:
Tl 0.0000 0.0000 0.0000  3 F 2.52-2.57
Tl 0.5000 0.5000 0.0000  3 F 2.52-2.57
Hg 0.0331 0.5000 0.5622  2 O 2.15
Hg 0.5331 0.0000 0.5622  2 O 2.15
O 0.1668 0.0000 0.6103  2 Hg 2.15
O 0.6668 0.5000 0.6103  2 Hg 2.15
F 0.3976 0.0000 0.1877  3 Tl 2.52-2.57, 1 Hg 2.58
F 0.8976 0.5000 0.1877  3 Tl 2.52-2.57, 1 Hg 2.58

Values from the calculation:
**ΔE_f (raw)**: -0.892 eV per atom
**Space group**: No. 8

=====

(4)
Compound: Tm4SiSbC
Source: Alexandria via LeMat-Bulk
Functional: PBE-GGA
Structure: optimized geometry

Cell: 8.2565 8.2565 6.6003 Å, 90.00 90.00 132.96°
Closest atoms and distances in Å follow each position.
Fractional positions:
Tm 0.0000 0.5000 0.0000  2 C 2.33
Tm 0.0000 0.5000 0.5000  2 C 2.33
Tm 0.0828 0.9172 0.7500  1 C 2.47
Tm 0.4065 0.5935 0.7500  1 C 2.43
Tm 0.5000 0.0000 0.0000  2 C 2.33
Tm 0.5000 0.0000 0.5000  2 C 2.33
Tm 0.5935 0.4065 0.2500  1 C 2.43
Tm 0.9172 0.0828 0.2500  1 C 2.47
Si 0.1144 0.8856 0.2500  9 Tm 2.99-3.33
Si 0.8856 0.1144 0.7500  9 Tm 2.99-3.33
Sb 0.3940 0.6060 0.2500  9 Tm 3.02-3.31
Sb 0.6060 0.3940 0.7500  9 Tm 3.02-3.31
C 0.2462 0.7538 0.7500  6 Tm 2.33-2.47
C 0.7538 0.2462 0.2500  6 Tm 2.33-2.47

Values from the calculation:
**DOS(E_F)**: 3.5 states/eV/f.u.
**ΔE_f (raw)**: -0.667 eV per atom
**Space group**: No. 63

=====

(5)
Compound: YMn2Pb
Source: Alexandria via LeMat-Bulk
Functional: PBE-GGA
Structure: optimized geometry

Cell: 7.9381 7.9381 6.0768 Å, 90.00 90.00 90.00°
Closest atoms and distances in Å follow each position.
Fractional positions:
Y 0.0000 0.0000 0.0000  2 Pb 3.04, 4 Mn 3.04
Y 0.0000 0.5000 0.2500  2 Pb 3.04, 4 Mn 3.04
Y 0.5000 0.0000 0.7500  2 Pb 3.04, 4 Mn 3.04
Y 0.5000 0.5000 0.5000  2 Pb 3.04, 4 Mn 3.04
Mn 0.2255 0.2500 0.6250  2 Pb 2.78, 2 Y 3.04, 2 Mn 3.06
Mn 0.2500 0.7255 0.8750  2 Pb 2.78, 2 Y 3.04, 2 Mn 3.06
Mn 0.2500 0.7745 0.3750  2 Pb 2.78, 2 Y 3.04, 2 Mn 3.06
Mn 0.2745 0.2500 0.1250  2 Pb 2.78, 2 Y 3.04, 2 Mn 3.06
Mn 0.7255 0.7500 0.1250  2 Pb 2.78, 2 Y 3.04, 2 Mn 3.06
Mn 0.7500 0.2255 0.3750  2 Pb 2.78, 2 Y 3.04, 2 Mn 3.06
Mn 0.7500 0.2745 0.8750  2 Pb 2.78, 2 Y 3.04, 2 Mn 3.06
Mn 0.7745 0.7500 0.6250  2 Pb 2.78, 2 Y 3.04, 2 Mn 3.06
Pb 0.0000 0.0000 0.5000  4 Mn 2.78, 2 Y 3.04
Pb 0.0000 0.5000 0.7500  4 Mn 2.78, 2 Y 3.04
Pb 0.5000 0.0000 0.2500  4 Mn 2.78, 2 Y 3.04
Pb 0.5000 0.5000 0.0000  4 Mn 2.78, 2 Y 3.04

Values from the calculation:
**DOS(E_F)**: 5.4 states/eV/f.u.
**Space group**: No. 122
**Formation enthalpy at 0 K**: 0.544 eV per atom

=====

(6)
Compound: HoTh2Cu
Source: Alexandria via LeMat-Bulk
Functional: PBE-GGA
Structure: optimized geometry

Cell: 3.6158 3.6158 29.9935 Å, 90.00 90.00 120.00°
Closest atoms and distances in Å follow each position.
Fractional positions:
Ho 0.0000 0.0000 0.0000  6 Th 3.56, 6 Ho 3.62
Ho 0.3333 0.6667 0.6667  6 Th 3.56, 6 Ho 3.62
Ho 0.6667 0.3333 0.3333  6 Th 3.56, 6 Ho 3.62
Th 0.0000 0.0000 0.2374  3 Cu 2.98
Th 0.0000 0.0000 0.7626  3 Cu 2.98
Th 0.3333 0.6667 0.4293  3 Cu 2.98
Th 0.3333 0.6667 0.9040  3 Cu 2.98
Th 0.6667 0.3333 0.0960  3 Cu 2.98
Th 0.6667 0.3333 0.5707  3 Cu 2.98
Cu 0.0000 0.0000 0.5000  6 Th 2.98
Cu 0.3333 0.6667 0.1667  6 Th 2.98
Cu 0.6667 0.3333 0.8333  6 Th 2.98

Values from the calculation:
**DOS(E_F)**: 4.7 states/eV/f.u.
**Space group**: No. 166
**Energy above the lowest structure with this stoichiometry**: 9.47 kJ/mol of atoms
**Formation enthalpy at 0 K**: 0.112 eV per atom

=====

(7)
Compound: Tb4Ho3Mg2
Source: Alexandria via LeMat-Bulk
Functional: PBE-GGA
Structure: optimized geometry

Cell: 7.8050 7.8050 7.7729 Å, 107.68 107.68 36.86°
Closest atoms and distances in Å follow each position.
Fractional positions:
Tb 0.0550 0.0550 0.3329  6 Ho 3.48-3.49, 4 Tb 3.48-3.50, 2 Mg 3.49-3.52
Tb 0.2783 0.2783 0.6702  3 Mg 3.44-3.47, 4 Ho 3.46-3.51, 5 Tb 3.50-3.52
Tb 0.7217 0.7217 0.3298  3 Mg 3.44-3.47, 4 Ho 3.46-3.51, 5 Tb 3.50-3.52
Tb 0.9450 0.9450 0.6671  6 Ho 3.48-3.49, 4 Tb 3.48-3.50, 2 Mg 3.49-3.52
Ho 0.3886 0.3886 0.3327  3 Mg 3.45-3.47, 2 Ho 3.48-3.49, 7 Tb 3.49-3.51
Ho 0.5000 0.5000 0.0000  6 Tb 3.46-3.48, 2 Ho 3.48, 4 Mg 3.52
Ho 0.6114 0.6114 0.6673  3 Mg 3.45-3.47, 2 Ho 3.48-3.49, 7 Tb 3.49-3.51
Mg 0.1689 0.1689 0.9989  5 Tb 3.44-3.52, 2 Mg 3.44, 5 Ho 3.45-3.52
Mg 0.8311 0.8311 0.0011  5 Tb 3.44-3.52, 2 Mg 3.44, 5 Ho 3.45-3.52

Values from the calculation:
**DOS(E_F)**: 11.1 states/eV/f.u.
**Space group**: No. 12
**Formation enthalpy at 0 K**: 0.007 eV per atom

=====

(8)
Compound: SrPmHo
Source: Alexandria via LeMat-Bulk
Functional: PBE-GGA
Structure: optimized geometry

Cell: 3.7559 3.7559 16.1839 Å, 90.00 90.00 90.00°
Closest atoms and distances in Å follow each position.
Fractional positions:
Sr 0.0000 0.0000 0.0000  4 Sr 3.76, 4 Ho 3.92, 4 Pm 3.96
Sr 0.5000 0.5000 0.5000  4 Sr 3.76, 4 Ho 3.92, 4 Pm 3.96
Pm 0.0000 0.0000 0.3182  4 Ho 3.49, 4 Pm 3.76
Pm 0.5000 0.5000 0.8182  4 Ho 3.49, 4 Pm 3.76
Ho 0.0000 0.0000 0.6783  4 Pm 3.49, 4 Ho 3.76
Ho 0.5000 0.5000 0.1783  4 Pm 3.49, 4 Ho 3.76

Values from the calculation:
**DOS(E_F)**: 4.3 states/eV/f.u.
**Space group**: No. 107
**Energy above the lowest structure with this stoichiometry**: 0.00 kJ/mol of atoms
**Formation enthalpy at 0 K**: 0.117 eV per atom

=====

(9)
Compound: BaTaCd
Source: Alexandria via LeMat-Bulk
Functional: PBE-GGA
Structure: optimized geometry

Cell: 5.4174 5.4174 3.1705 Å, 90.00 90.00 120.00°
Closest atoms and distances in Å follow each position.
Fractional positions:
Ba 0.0000 0.0000 0.0000  2 Ba 3.17, 6 Cd 3.51, 6 Ta 3.51
Ta 0.3333 0.6667 0.5000  3 Cd 3.13, 2 Ta 3.17
Cd 0.6667 0.3333 0.5000  3 Ta 3.13, 2 Cd 3.17

Values from the calculation:
**DOS(E_F)**: 3.3 states/eV/f.u.
**Space group**: No. 187
**Energy above the lowest structure with this stoichiometry**: 22.43 kJ/mol of atoms
**Formation enthalpy at 0 K**: 0.880 eV per atom

=====

(10)
Compound: TlGaMo2Pd
Source: Alexandria via LeMat-Bulk
Functional: PBE-GGA
Structure: optimized geometry

Cell: 4.9228 4.9228 5.0776 Å, 90.00 90.00 90.00°
Closest atoms and distances in Å follow each position.
Fractional positions:
Tl 0.0000 0.0000 0.0000  2 Pd 2.54
Ga 0.5000 0.5000 0.0000  4 Tl 3.48, 8 Mo 3.54
Mo 0.0000 0.5000 0.5000  2 Pd 2.46
Mo 0.5000 0.0000 0.5000  2 Pd 2.46
Pd 0.0000 0.0000 0.5000  4 Mo 2.46, 2 Tl 2.54

Values from the calculation:
**DOS(E_F)**: 6.5 states/eV/f.u.
**Space group**: No. 123
**Energy above the lowest structure with this stoichiometry**: 24.47 kJ/mol of atoms
**Formation enthalpy at 0 K**: 1.554 eV per atom

=====

(11)
Compound: MnTl2SbSe4
Source: Alexandria via LeMat-Bulk
Functional: PBE-GGA
Structure: optimized geometry

Cell: 8.4176 8.4176 8.4176 Å, 121.51 118.73 89.81°
Closest atoms and distances in Å follow each position.
Fractional positions:
Mn 0.5000 0.0000 0.0000  6 Se 2.71-2.73
Mn 0.5000 0.5000 0.5000  6 Se 2.71-2.73
Tl 0.0000 0.0000 0.0000  6 Se 3.07-3.11
Tl 0.0000 0.0000 0.5000  6 Se 3.24-3.26
Tl 0.0000 0.5000 0.0000  6 Se 3.24-3.26
Tl 0.5000 0.0000 0.5000  6 Se 3.07-3.11
Sb 0.0000 0.5000 0.5000  6 Se 2.89-2.91
Sb 0.5000 0.5000 0.0000  6 Se 2.89-2.91
Se 0.2717 0.2876 0.5159  1 Mn 2.73, 2 Sb 2.89
Se 0.2717 0.7558 0.9841  1 Mn 2.73, 2 Sb 2.89
Se 0.2858 0.7415 0.5443  2 Mn 2.71, 1 Sb 2.91
Se 0.3028 0.2585 0.0443  2 Mn 2.71, 1 Sb 2.91
Se 0.6972 0.7415 0.9557  2 Mn 2.71, 1 Sb 2.91
Se 0.7142 0.2585 0.4557  2 Mn 2.71, 1 Sb 2.91
Se 0.7283 0.2442 0.0159  1 Mn 2.73, 2 Sb 2.89
Se 0.7283 0.7124 0.4841  1 Mn 2.73, 2 Sb 2.89

Values from the calculation:
**DOS(E_F)**: 3.2 states/eV/f.u.
**ΔE_f (raw)**: -0.346 eV per atom
**Space group**: No. 74

=====

(12)
Compound: HfGeIO4
Source: Alexandria via LeMat-Bulk
Functional: PBE-GGA
Structure: optimized geometry

Cell: 6.5123 6.5123 6.5262 Å, 102.64 102.64 55.88°
Closest atoms and distances in Å follow each position.
Fractional positions:
Hf 0.2045 0.2045 0.3484  4 O 1.98-2.13
Hf 0.7955 0.7955 0.6516  4 O 1.98-2.13
Ge 0.1326 0.1326 0.7725  4 O 1.73-1.82
Ge 0.8674 0.8674 0.2275  4 O 1.73-1.82
I 0.4872 0.4872 0.7798  1 I 2.82, 2 O 3.08
I 0.5128 0.5128 0.2202  1 I 2.82, 2 O 3.08
O 0.0181 0.5998 0.3728  1 Ge 1.82
O 0.0251 0.0251 0.2852  1 Ge 1.76
O 0.1966 0.1966 0.0412  1 Ge 1.73
O 0.4002 0.9819 0.6272  1 Ge 1.82
O 0.5998 0.0181 0.3728  1 Ge 1.82
O 0.8034 0.8034 0.9588  1 Ge 1.73
O 0.9749 0.9749 0.7148  1 Ge 1.76
O 0.9819 0.4002 0.6272  1 Ge 1.82

Values from the calculation:
**DOS(E_F)**: 0.8 states/eV/f.u.
**ΔE_f (raw)**: -2.009 eV per atom
**Space group**: No. 12

=====

Spin magnetization for the records above, in order: 0.0; 0.0; 0.0; 0.0; 29.4; 0.0; 0.0; 0.0; 0.4; 4.2; 8.4; 0.0 Bohr magnetons per cell
Ρ for the records above, in order: 6.99; 6.16; 8.48; 8.45; 7.04; 10.16; 7.28; 5.78; 8.87; 7.72; 7.12; 6.61 Mg/m³
Raw total energy for the records above, in order: -5.421; -4.109; -3.267; -5.903; -6.584; -5.766; -3.931; -3.553; -4.017; -4.896; -4.341; -7.145 eV/atom